The following is a GGA-PBE calculation of a geometry-optimized Na2TaS4 structure, from the Alexandria database. Values from VASP.

Quantum ESPRESSO input file:
```
&SYSTEM
  ibrav = 0, nat = 28, ntyp = 3
/
ATOMIC_SPECIES
Na 22.99 Na.upf
Ta 180.95 Ta.upf
S 32.06 S.upf
ATOMIC_POSITIONS crystal
Na 0.5000 0.1681 0.1681
Na 0.5000 0.3320 0.6680
Na 0.5000 0.6680 0.3320
Na 0.0000 0.3319 0.3319
Na 0.5000 0.8319 0.8319
Na 0.0000 0.8320 0.1680
Na 0.0000 0.6681 0.6681
Na 0.0000 0.1680 0.8320
Ta 0.8896 0.0000 0.5000
Ta 0.6104 0.5000 0.0000
Ta 0.3896 0.0000 0.5000
Ta 0.1104 0.5000 0.0000
S 0.1395 0.0680 0.3136
S 0.6394 0.0680 0.6864
S 0.6394 0.9320 0.3136
S 0.1394 0.1864 0.5680
S 0.1394 0.8136 0.4320
S 0.8605 0.3136 0.0680
S 0.6395 0.1864 0.4320
S 0.1395 0.9320 0.6864
S 0.6395 0.8136 0.5680
S 0.3605 0.5680 0.8136
S 0.8606 0.5680 0.1864
S 0.8606 0.4320 0.8136
S 0.8605 0.6864 0.9320
S 0.3606 0.6864 0.0680
S 0.3606 0.3136 0.9320
S 0.3605 0.4320 0.1864
CELL_PARAMETERS angstrom
6.1975 0.0000 0.0000
0.0000 10.2673 -0.0647
0.0000 0.0622 10.2673
```

Computed properties:
E_form (uncorrected) = -0.84 eV/atom
energy above the lowest structure with this stoichiometry = 8 meV per atom
total magnetization = 0.0 μB per formula unit
E = -36.853 eV per formula unit

The following is a GGA-PBE calculation of a geometry-optimized NaTa2S6 structure, from the Alexandria database. Values from VASP.

Quantum ESPRESSO input file:
```
&SYSTEM
  ibrav = 0, nat = 9, ntyp = 3
/
ATOMIC_SPECIES
S 32.06 S.upf
Ta 180.95 Ta.upf
Na 22.99 Na.upf
ATOMIC_POSITIONS crystal
S 0.3408 0.5428 0.2532
S 0.7190 0.2190 0.3640
S 0.9572 0.1592 0.7468
S 0.0428 0.8408 0.2532
S 0.6592 0.4572 0.7468
S 0.2810 0.7810 0.6360
Ta 0.2504 0.2496 0.5000
Ta 0.7496 0.7504 0.5000
Na 0.5000 0.0000 0.0000
CELL_PARAMETERS angstrom
0.2702 -3.5208 -3.4771
-1.1305 -2.3178 4.2320
-7.1285 2.2631 -1.6484
```

Computed properties:
E_form (uncorrected) = -0.75 eV/atom
total magnetization = 0.0 μB per formula unit
E = -56.562 eV per formula unit

The following is a GGA-PBE calculation of a geometry-optimized NaTaS4 structure, from the Alexandria database. Values from VASP.

Quantum ESPRESSO input file:
```
&SYSTEM
  ibrav = 0, nat = 12, ntyp = 3
/
ATOMIC_SPECIES
S 32.06 S.upf
Ta 180.95 Ta.upf
Na 22.99 Na.upf
ATOMIC_POSITIONS crystal
S 0.6484 0.6746 0.4580
S 0.8516 0.8674 0.4580
S 0.4593 0.2210 0.0189
S 0.5407 0.7790 0.9811
S 0.1484 0.1326 0.5420
S 0.3516 0.3254 0.5420
S 0.0407 0.7601 0.0189
S 0.9593 0.2399 0.9811
Ta 0.7500 0.9413 0.1174
Ta 0.2500 0.0587 0.8826
Na 0.2500 0.6447 0.7106
Na 0.7500 0.3553 0.2894
CELL_PARAMETERS angstrom
6.3884 -0.7359 0.7552
1.5176 6.1615 3.5578
-0.2473 0.0940 7.3807
```

Computed properties:
E_form (uncorrected) = -0.83 eV/atom
energy above the lowest structure with this stoichiometry = 0 meV per atom
total magnetization = 0.0 μB per formula unit
E = -34.666 eV per formula unit

The following is a GGA-PBE calculation of a geometry-optimized Na2Ta3S8 structure, from the Alexandria database. Values from VASP.

Quantum ESPRESSO input file:
```
&SYSTEM
  ibrav = 0, nat = 13, ntyp = 3
/
ATOMIC_SPECIES
Ta 180.95 Ta.upf
S 32.06 S.upf
Na 22.99 Na.upf
ATOMIC_POSITIONS crystal
Ta 0.0000 0.2678 0.0000
Ta 0.5000 0.0000 0.0000
Ta 0.0000 0.7322 0.0000
S 0.3953 0.3420 0.2032
S 0.8975 0.1029 0.2058
S 0.9331 0.6091 0.2183
S 0.6047 0.1388 0.7968
S 0.6047 0.6580 0.7968
S 0.3953 0.8612 0.2032
S 0.0669 0.3909 0.7817
S 0.1025 0.8971 0.7942
Na 0.6598 0.7436 0.4873
Na 0.3402 0.2564 0.5127
CELL_PARAMETERS angstrom
-4.4096 -3.0478 -3.0008
4.1114 -0.2799 -5.7574
2.0999 -4.7851 6.0856
```

Computed properties:
E_form (uncorrected) = -1.01 eV/atom
total magnetization = 0.0 μB per formula unit
E = -84.399 eV per formula unit

The following is a GGA-PBE calculation of a geometry-optimized NaTaS4 structure, from the Alexandria database. Values from VASP.

Quantum ESPRESSO input file:
```
&SYSTEM
  ibrav = 0, nat = 6, ntyp = 3
/
ATOMIC_SPECIES
S 32.06 S.upf
Ta 180.95 Ta.upf
Na 22.99 Na.upf
ATOMIC_POSITIONS crystal
S 0.5000 0.0000 0.7104
S 0.0000 0.5000 0.2896
S 0.0000 0.5000 0.7104
S 0.5000 0.0000 0.2896
Ta 0.5000 0.5000 0.5000
Na 0.0000 0.0000 0.0000
CELL_PARAMETERS angstrom
-0.9949 0.0642 -3.9817
-1.6433 -3.7450 0.3502
-6.5327 3.0238 1.6810
```

Computed properties:
E_form (uncorrected) = -0.46 eV/atom
energy above the lowest structure with this stoichiometry = 369 meV per atom
total magnetization = 0.0 μB per formula unit
E = -32.453 eV per formula unit

The following is a GGA-PBE calculation of a geometry-optimized NaTa6S8 structure, from the Alexandria database. Values from VASP.

Quantum ESPRESSO input file:
```
&SYSTEM
  ibrav = 0, nat = 15, ntyp = 3
/
ATOMIC_SPECIES
Ta 180.95 Ta.upf
S 32.06 S.upf
Na 22.99 Na.upf
ATOMIC_POSITIONS crystal
Ta 0.4055 0.5522 0.2053
Ta 0.7947 0.5945 0.4478
Ta 0.2053 0.4055 0.5522
Ta 0.4478 0.7947 0.5945
Ta 0.5945 0.4478 0.7947
Ta 0.5522 0.2053 0.4055
S 0.2613 0.6007 0.8666
S 0.8666 0.2613 0.6007
S 0.3993 0.1334 0.7387
S 0.6007 0.8666 0.2613
S 0.1334 0.7387 0.3993
S 0.7711 0.7711 0.7711
S 0.2289 0.2289 0.2289
S 0.7387 0.3993 0.1334
Na 0.0000 0.0000 0.0000
CELL_PARAMETERS angstrom
6.7049 0.1205 0.1245
-0.0886 6.7054 0.1245
-0.0886 -0.0915 6.7059
```

Computed properties:
E_form (uncorrected) = -0.89 eV/atom
total magnetization = 0.0 μB per formula unit
E = -118.866 eV per formula unit